[1]
{"formula": "MnCo2SbN", "functional": "PBE", "state": "optimized geometry", "cell": [[-3.789, 0.020, -0.937], [-0.577, -3.125, 2.266], [-0.716, 2.266, 2.942]], "species": ["N", "Sb", "Co", "Co", "Mn"], "fractional_positions": [[0.000, 0.000, 0.000], [0.500, 0.500, 0.500], [0.000, 0.500, 0.000], [0.500, 0.000, 0.000], [0.000, 0.000, 0.500]], "raw_formation_energy_mev_per_atom": 72, "total_magnetization_mub_per_atom": 0.08}

***

[2]
{"formula": "YMgCd3", "functional": "PBE", "state": "optimized geometry", "cell": [[5.862, 0.000, 0.000], [0.000, 5.862, 0.000], [0.000, 0.000, 5.862]], "species": ["Cd", "Cd", "Cd", "Mg", "Y"], "fractional_positions": [[0.500, 0.000, 0.000], [0.000, 0.500, 0.000], [0.000, 0.000, 0.500], [0.500, 0.500, 0.500], [0.000, 0.000, 0.000]], "e_form_ev_per_atom": 0.70, "total_magnetization_mub_per_atom": 0.00}

***

[3]
{"formula": "CePmBi2", "functional": "PBE", "state": "optimized geometry", "cell": [[4.590, 0.000, 0.000], [2.295, 3.975, 0.000], [2.295, 1.325, 7.495]], "species": ["Bi", "Bi", "Pm", "Ce"], "fractional_positions": [[0.250, 0.250, 0.250], [0.750, 0.750, 0.750], [0.500, 0.500, 0.500], [0.000, 0.000, 0.000]], "e_form_ev_per_atom": -0.87, "total_magnetization_mub_per_atom": 0.21}

***

[4]
{"formula": "CrSn2Rh2", "functional": "PBE", "state": "optimized geometry", "cell": [[-0.092, 3.849, -0.019], [-3.385, -0.072, 1.832], [1.279, 1.988, 6.485]], "species": ["Rh", "Rh", "Sn", "Sn", "Cr"], "fractional_positions": [[0.750, 0.250, 0.500], [0.250, 0.750, 0.500], [0.391, 0.391, 0.218], [0.609, 0.609, 0.782], [0.000, 0.000, 0.000]], "e_form_ev_per_atom": 0.47, "total_magnetization_mub_per_atom": 0.03}

***

[5]
{"formula": "RbNpCoSe4", "functional": "PBE", "state": "optimized geometry", "cell": [[-2.146, -4.311, 4.548], [-0.428, -4.460, -4.429], [9.606, -0.548, -0.377]], "species": ["Se", "Se", "Se", "Se", "Se", "Se", "Se", "Se", "Np", "Np", "Rb", "Rb", "Co", "Co"], "fractional_positions": [[0.978, 0.490, 0.296], [0.419, 0.750, 0.579], [0.022, 0.510, 0.704], [0.978, 0.010, 0.296], [0.432, 0.750, 0.180], [0.581, 0.250, 0.421], [0.568, 0.250, 0.820], [0.022, 0.990, 0.704], [0.247, 0.250, 0.550], [0.753, 0.750, 0.450], [0.253, 0.250, 0.055], [0.747, 0.750, 0.945], [0.771, 0.250, 0.665], [0.229, 0.750, 0.335]], "raw_formation_energy_mev_per_atom": -788, "total_magnetization_mub_per_atom": 0.69}

***

[6]
{"formula": "SrHPd2Au", "functional": "PBE", "state": "optimized geometry", "cell": [[4.367, 0.000, 0.000], [0.000, 4.367, 0.000], [0.000, 0.000, 4.280]], "species": ["Au", "Pd", "Pd", "H", "Sr"], "fractional_positions": [[0.000, 0.000, 0.500], [0.000, 0.500, 0.000], [0.500, 0.000, 0.000], [0.000, 0.000, 0.000], [0.500, 0.500, 0.500]], "dft_energy_ev_per_atom": -4.044, "total_magnetization_mub_per_atom": 0.00}

***

[7]
{"formula": "HfTe3Se", "functional": "PBE", "state": "optimized geometry", "cell": [[5.336, 0.000, 0.000], [0.000, 5.336, 0.000], [0.000, 0.000, 5.336]], "species": ["Se", "Te", "Te", "Te", "Hf"], "fractional_positions": [[0.000, 0.000, 0.000], [0.000, 0.500, 0.000], [0.000, 0.000, 0.500], [0.500, 0.000, 0.000], [0.500, 0.500, 0.500]], "raw_formation_energy_mev_per_atom": 680, "total_magnetization_mub_per_atom": 0.11}

***

[8]
{"formula": "Zn6Cu5Ag", "functional": "PBE", "state": "optimized geometry", "cell": [[7.920, -0.095, 0.000], [2.134, 3.393, 0.000], [1.067, 1.697, 6.030]], "species": ["Zn", "Zn", "Zn", "Zn", "Zn", "Zn", "Cu", "Cu", "Cu", "Cu", "Cu", "Ag"], "fractional_positions": [[0.264, 0.236, 0.000], [0.742, 0.427, 0.659], [0.258, 0.573, 0.341], [0.258, 0.914, 0.659], [0.742, 0.086, 0.341], [0.736, 0.764, 0.000], [0.500, 0.834, 0.332], [0.500, 0.166, 0.668], [0.000, 0.671, 0.659], [0.500, 0.500, 0.000], [0.000, 0.329, 0.341], [0.000, 0.000, 0.000]], "e_form_ev_per_atom": -0.06, "total_magnetization_mub_per_atom": 0.00}